Record 1
VASP calculation (PBE-GGA) on a relaxed structure of ZrBe4Sb.

Symmetry = No. 216
Formation energy from raw total energies = 0.2301 eV/atom
Total DFT energy (no corrections) = -4.366 eV per atom

Lattice parameters (Å, degrees): 4.8577 4.8577 4.8577 60.00 60.00 60.00
With the nearest neighbours (Å) after each atom.
Fractional positions:
Be 0.3693 0.8921 0.3693  6 Be 2.32-2.54
Be 0.3693 0.3693 0.8921  6 Be 2.32-2.54
Be 0.8921 0.3693 0.3693  6 Be 2.32-2.54
Be 0.3693 0.3693 0.3693  6 Be 2.32-2.54
Sb 0.7500 0.7500 0.7500  12 Be 2.86, 4 Zr 2.97
Zr 0.0000 0.0000 0.0000  12 Be 2.84, 4 Sb 2.97

Record 2
VASP calculation (PBE-GGA) on a relaxed structure of Pm6YSc2.

Energy above the lowest structure with this stoichiometry = 1.17 eV/f.u.
Symmetry = No. 15
Total DFT energy (no corrections) = -5.088 eV per atom

Lattice parameters (Å, degrees): 6.2128 10.6574 10.6574 84.91 65.29 65.29
With the nearest neighbours (Å) after each atom.
Fractional positions:
Sc 0.8010 0.3715 0.2392  6 Pm 3.13-3.41
Sc 0.3010 0.2392 0.3715  6 Pm 3.13-3.41
Sc 0.1990 0.6285 0.7608  6 Pm 3.13-3.41
Sc 0.6990 0.7608 0.6285  6 Pm 3.13-3.41
Pm 0.0979 0.5577 0.3292  2 Sc 3.15-3.34, 2 Pm 3.25-3.48, 1 Y 3.43
Pm 0.1894 0.0100 0.5740  2 Sc 3.22-3.41, 4 Pm 3.33-3.48, 1 Y 3.53
Pm 0.7372 0.1545 0.0679  2 Sc 3.13-3.31, 1 Y 3.31, 5 Pm 3.33-3.41
Pm 0.9021 0.4423 0.6708  2 Sc 3.15-3.34, 2 Pm 3.25-3.48, 1 Y 3.43
Pm 0.5979 0.3292 0.5577  2 Sc 3.15-3.34, 2 Pm 3.25-3.48, 1 Y 3.43
Pm 0.8106 0.9900 0.4260  2 Sc 3.22-3.41, 4 Pm 3.33-3.48, 1 Y 3.53
Pm 0.2628 0.8455 0.9321  2 Sc 3.13-3.31, 1 Y 3.31, 5 Pm 3.33-3.41
Pm 0.6894 0.5740 0.0100  2 Sc 3.22-3.41, 4 Pm 3.33-3.48, 1 Y 3.53
Pm 0.3106 0.4260 0.9900  2 Sc 3.22-3.41, 4 Pm 3.33-3.48, 1 Y 3.53
Pm 0.4021 0.6708 0.4423  2 Sc 3.15-3.34, 2 Pm 3.25-3.48, 1 Y 3.43
Pm 0.2372 0.0679 0.1545  2 Sc 3.13-3.31, 1 Y 3.31, 5 Pm 3.33-3.41
Pm 0.7628 0.9321 0.8455  2 Sc 3.13-3.31, 1 Y 3.31, 5 Pm 3.33-3.41
Y 0.2500 0.1829 0.8171  8 Pm 3.31-3.67
Y 0.7500 0.8171 0.1829  8 Pm 3.31-3.67

Record 3
VASP calculation (PBE-GGA) on a relaxed structure of Ba2Pt2Rh.

Symmetry = No. 127
Total DFT energy (no corrections) = -4.981 eV per atom

Lattice parameters (Å, degrees): 7.2652 7.2652 4.8400 90.00 90.00 90.00
With the nearest neighbours (Å) after each atom.
Fractional positions:
Pt 0.1320 0.3680 0.0000  1 Pt 2.71, 2 Rh 2.84
Pt 0.8680 0.6320 0.0000  1 Pt 2.71, 2 Rh 2.84
Pt 0.3680 0.8680 0.0000  1 Pt 2.71, 2 Rh 2.84
Pt 0.6320 0.1320 0.0000  1 Pt 2.71, 2 Rh 2.84
Rh 0.5000 0.5000 0.0000  4 Pt 2.84
Rh 0.0000 0.0000 0.0000  4 Pt 2.84
Ba 0.6803 0.8197 0.5000  6 Pt 3.09-3.34
Ba 0.3197 0.1803 0.5000  6 Pt 3.09-3.34
Ba 0.8197 0.3197 0.5000  6 Pt 3.09-3.34
Ba 0.1803 0.6803 0.5000  6 Pt 3.09-3.34

Record 4
VASP calculation (PBE-GGA) on a relaxed structure of Sc2TeP.

Energy above the lowest structure with this stoichiometry = 2.23 eV/f.u.
Symmetry = No. 12
Formation energy from raw total energies = -0.8348 eV/atom
Total DFT energy (no corrections) = -6.138 eV per atom

Lattice parameters (Å, degrees): 4.9925 4.9925 3.5161 80.63 80.63 92.53
With the nearest neighbours (Å) after each atom.
Fractional positions:
Te 0.5000 0.5000 0.5000  4 Sc 2.81
Sc 0.0000 0.5000 0.0000  2 Te 2.81, 2 P 2.81
Sc 0.5000 0.0000 0.0000  2 Te 2.81, 2 P 2.81
P 0.0000 0.0000 0.5000  4 Sc 2.81

Record 5
VASP calculation (PBE-GGA) on a relaxed structure of LaYHoMg.

Energy above the lowest structure with this stoichiometry = 0.22 eV/f.u.
Symmetry = No. 216
Total DFT energy (no corrections) = -4.365 eV per atom

Lattice parameters (Å, degrees): 5.6053 5.6053 5.6053 60.00 60.00 60.00
With the nearest neighbours (Å) after each atom.
Fractional positions:
Ho 0.5000 0.5000 0.5000  4 Y 3.43, 4 La 3.43
Mg 0.0000 0.0000 0.0000  4 La 3.43, 4 Y 3.43
Y 0.7500 0.7500 0.7500  4 Ho 3.43, 4 Mg 3.43
La 0.2500 0.2500 0.2500  4 Ho 3.43, 4 Mg 3.43

Record 6
VASP calculation (PBE-GGA) on a relaxed structure of ZrSc4Al.

Energy above the lowest structure with this stoichiometry = 5.64 eV/f.u.
Symmetry = No. 137
Total DFT energy (no corrections) = -5.476 eV per atom

Lattice parameters (Å, degrees): 5.6765 5.6765 9.9873 90.00 90.00 90.00
With the nearest neighbours (Å) after each atom.
Fractional positions:
Sc 0.0000 0.7443 0.2677  1 Al 2.74, 4 Sc 2.77-2.90, 1 Zr 3.04
Sc 0.7443 0.0000 0.7323  1 Al 2.74, 4 Sc 2.77-2.90, 1 Zr 3.04
Sc 0.2557 0.0000 0.7323  1 Al 2.74, 4 Sc 2.77-2.90, 1 Zr 3.04
Sc 0.7557 0.5000 0.7677  1 Al 2.74, 4 Sc 2.77-2.90, 1 Zr 3.04
Sc 0.5000 0.2443 0.2323  1 Al 2.74, 4 Sc 2.77-2.90, 1 Zr 3.04
Sc 0.2443 0.5000 0.7677  1 Al 2.74, 4 Sc 2.77-2.90, 1 Zr 3.04
Sc 0.0000 0.2557 0.2677  1 Al 2.74, 4 Sc 2.77-2.90, 1 Zr 3.04
Sc 0.5000 0.7557 0.2323  1 Al 2.74, 4 Sc 2.77-2.90, 1 Zr 3.04
Al 0.0000 0.0000 0.5000  4 Sc 2.74
Al 0.5000 0.5000 0.0000  4 Sc 2.74
Zr 0.0000 0.0000 0.0000  4 Sc 3.04
Zr 0.5000 0.5000 0.5000  4 Sc 3.04